1.
! ThNpAs2 (PBE, relaxed); values from VASP
&SYSTEM
  ibrav = 0, nat = 4, ntyp = 3
/
ATOMIC_SPECIES
As 74.92 As.upf
Th 232.04 Th.upf
Np 237.00 Np.upf
CELL_PARAMETERS angstrom
4.204 0.000 0.000
2.102 3.641 0.000
2.102 1.214 6.805
ATOMIC_POSITIONS angstrom
As 6.306 3.641 5.038
As 2.102 1.214 1.768
Th 0.000 0.000 0.000
Np 4.204 2.427 3.403
! Crystal system: trigonal
! Density: 9.9 g cm⁻³
! Energy relative to the elements: -1.05 eV/atom
! Calculated total energy: -8.46 eV/atom

2.
! ThNpAs2 (PBE, relaxed); values from VASP
&SYSTEM
  ibrav = 0, nat = 4, ntyp = 3
/
ATOMIC_SPECIES
As 74.92 As.upf
Th 232.04 Th.upf
Np 237.00 Np.upf
CELL_PARAMETERS angstrom
4.077 0.000 0.000
2.038 3.531 0.000
2.038 1.177 7.273
ATOMIC_POSITIONS angstrom
As 2.038 1.177 5.560
As 2.038 1.177 1.720
Th 4.077 2.354 3.696
Np 6.115 3.531 7.207
! Crystal system: trigonal
! Density: 9.8 g cm⁻³
! Energy relative to the elements: -0.89 eV/atom
! Calculated total energy: -8.31 eV/atom

3.
! ThNpAs2 (PBE, relaxed); values from VASP
&SYSTEM
  ibrav = 0, nat = 8, ntyp = 3
/
ATOMIC_SPECIES
Np 237.00 Np.upf
As 74.92 As.upf
Th 232.04 Th.upf
CELL_PARAMETERS angstrom
4.148 0.000 0.000
-2.074 3.592 0.000
0.000 0.000 13.838
ATOMIC_POSITIONS angstrom
Np 0.000 0.000 6.919
As 2.074 1.197 12.216
Th 0.000 2.395 10.378
As 0.000 2.395 5.297
As 2.074 1.197 8.541
Th 2.074 1.197 3.459
Np 0.000 0.000 0.000
As 0.000 2.395 1.622
! Crystal system: hexagonal
! Density: 10.0 g cm⁻³
! Energy relative to the elements: -1.01 eV/atom
! Calculated total energy: -8.42 eV/atom

4.
! Th5NpAs6 (PBE, relaxed); values from VASP
&SYSTEM
  ibrav = 0, nat = 12, ntyp = 3
/
ATOMIC_SPECIES
Th 232.04 Th.upf
Np 237.00 Np.upf
As 74.92 As.upf
CELL_PARAMETERS angstrom
7.201 -0.111 -1.359
-3.890 6.061 -1.359
0.143 0.257 7.340
ATOMIC_POSITIONS angstrom
Th 1.727 3.104 2.311
Np 0.000 0.000 0.000
As 0.922 1.656 4.847
Th 5.406 1.056 2.311
Th -1.952 5.151 2.311
Th -0.190 4.002 -1.359
As 4.425 3.664 3.482
As 0.781 5.692 3.482
As -0.971 2.543 1.140
Th 3.501 1.948 -1.359
As 2.673 0.515 1.140
As 2.533 4.551 -0.225
! Crystal system: monoclinic
! Density: 9.5 g cm⁻³
! Energy relative to the elements: -1.28 eV/atom
! Calculated total energy: -7.77 eV/atom